[1]
# La2Ge7Au12 | Alexandria | PBE-GGA | relaxed
# Formation energy from the elements, eV per formula unit: -5.75
# Density of states at the Fermi level, states/eV per cell: 8.90
data_La2Ge7Au12
_chemical_formula_sum 'La2 Ge7 Au12'
_symmetry_space_group_name_H-M 'P -3'
_symmetry_Int_Tables_number 147
_cell_length_a 10.2154
_cell_length_b 10.2154
_cell_length_c 4.7325
_cell_angle_alpha 90.00
_cell_angle_beta 90.00
_cell_angle_gamma 120.00
loop_
_symmetry_equiv_pos_as_xyz
'x,y,z'
'-x,-y,-z'
'-y,x-y,z'
'y,-x+y,-z'
'-x+y,-x,z'
'x-y,x,-z'
loop_
_atom_site_label
_atom_site_fract_x
_atom_site_fract_y
_atom_site_fract_z
La1 0.3333 0.6667 0.2288
Ge1 0.0000 0.0000 0.5000
Ge2 0.1114 0.3885 0.6738
Au1 0.0664 0.6092 0.7725
Au2 0.1263 0.8626 0.1807

[2]
# La2GeAu2 | Alexandria | PBE-GGA | relaxed
# Formation energy from the elements, eV per formula unit: -3.02
# Density of states at the Fermi level, states/eV per cell: 2.01
# ΔE to the lowest computed polymorph, meV/atom: 129.4
data_La2GeAu2
_chemical_formula_sum 'La4 Ge2 Au4'
_symmetry_space_group_name_H-M 'I 4/m m m'
_symmetry_Int_Tables_number 139
_symmetry_space_group_name_Hall '-I 4 2'
_cell_length_a 3.944
_cell_length_b 3.944
_cell_length_c 16.644
_cell_angle_alpha 90.00
_cell_angle_beta 90.00
_cell_angle_gamma 90.00
loop_
_atom_site_label
_atom_site_fract_x
_atom_site_fract_y
_atom_site_fract_z
La1 0.000 0.000 0.097
Ge1 0.000 0.000 0.500
Au1 0.000 0.500 0.250

[3]
# La5Ge2Au2 | Alexandria | PBE-GGA | relaxed
# Formation energy from the elements, eV per formula unit: -6.85
# Density of states at the Fermi level, states/eV per cell: 32.38
data_La5Ge2Au2
_chemical_formula_sum 'La20 Ge8 Au8'
_symmetry_space_group_name_H-M 'C m c e'
_symmetry_Int_Tables_number 64
_symmetry_space_group_name_Hall '-C 2ac 2'
_cell_length_a 15.889
_cell_length_b 8.127
_cell_length_c 8.091
_cell_angle_alpha 90.00
_cell_angle_beta 90.00
_cell_angle_gamma 90.00
loop_
_atom_site_label
_atom_site_fract_x
_atom_site_fract_y
_atom_site_fract_z
La1 0.000 0.000 0.000
La2 0.136 0.174 0.333
Ge1 0.000 0.125 0.626
Au1 0.204 0.000 0.000

[4]
# LaGe2Au4 | Alexandria | PBE-GGA | relaxed
# Formation energy from the elements, eV per formula unit: -3.08
# Density of states at the Fermi level, states/eV per cell: 3.83
# ΔE to the lowest computed polymorph, meV/atom: 0.0
data_LaGe2Au4
_chemical_formula_sum 'La2 Ge4 Au8'
_symmetry_space_group_name_H-M 'C m m m'
_symmetry_Int_Tables_number 65
_symmetry_space_group_name_Hall '-C 2 2'
_cell_length_a 4.551
_cell_length_b 13.963
_cell_length_c 4.542
_cell_angle_alpha 90.00
_cell_angle_beta 90.00
_cell_angle_gamma 90.00
loop_
_atom_site_label
_atom_site_fract_x
_atom_site_fract_y
_atom_site_fract_z
La1 0.000 0.000 0.000
Ge1 0.000 0.410 0.500
Au1 0.000 0.177 0.500
Au2 0.000 0.319 0.000

[5]
# La3Ge5Au6 | Alexandria | PBE-GGA | relaxed
# Formation energy from the elements, eV per formula unit: -8.64
# Density of states at the Fermi level, states/eV per cell: 9.66
data_La3Ge5Au6
_chemical_formula_sum 'La6 Ge10 Au12'
_symmetry_space_group_name_H-M 'P m m n'
_symmetry_Int_Tables_number 59
_cell_length_a 4.531
_cell_length_b 13.734
_cell_length_c 9.685
_cell_angle_alpha 90.00
_cell_angle_beta 90.00
_cell_angle_gamma 90.00
loop_
_symmetry_equiv_pos_as_xyz
'x,y,z'
'-x,-y,-z'
'-x+1/2,-y+1/2,z'
'x+1/2,y+1/2,-z'
'x+1/2,-y,-z'
'-x+1/2,y,z'
'-x,y+1/2,-z'
'x,-y+1/2,z'
loop_
_atom_site_label
_atom_site_fract_x
_atom_site_fract_y
_atom_site_fract_z
La1 0.250 0.061 0.245
La2 0.250 0.750 0.261
Ge1 0.250 0.082 0.877
Ge2 0.250 0.603 0.528
Ge3 0.250 0.750 0.759
Au1 0.250 0.090 0.612
Au2 0.250 0.250 0.001
Au3 0.250 0.250 0.419
Au4 0.250 0.610 0.980

[6]
# LaGe3Au | Alexandria | PBE-GGA | relaxed
# Formation energy from the elements, eV per formula unit: 5.65
# Density of states at the Fermi level, states/eV per cell: 4.43
data_LaGe3Au
_chemical_formula_sum 'La1 Ge3 Au1'
_symmetry_space_group_name_H-M 'P m -3 m'
_symmetry_Int_Tables_number 221
_symmetry_space_group_name_Hall '-P 4 2 3'
_cell_length_a 5.643
_cell_length_b 5.643
_cell_length_c 5.643
_cell_angle_alpha 90.00
_cell_angle_beta 90.00
_cell_angle_gamma 90.00
loop_
_atom_site_label
_atom_site_fract_x
_atom_site_fract_y
_atom_site_fract_z
La1 0.000 0.000 0.000
Ge1 0.000 0.000 0.500
Au1 0.500 0.500 0.500

[7]
# LaGe2Au | Alexandria | PBE-GGA | relaxed
# Formation energy from the elements, eV per formula unit: 0.59
# Density of states at the Fermi level, states/eV per cell: 7.75
data_LaGe2Au
_chemical_formula_sum 'La3 Ge6 Au3'
_symmetry_space_group_name_H-M 'R -3 m'
_symmetry_Int_Tables_number 166
_symmetry_space_group_name_Hall '-R 3 2"'
_cell_length_a 3.3941
_cell_length_b 3.3941
_cell_length_c 29.7431
_cell_angle_alpha 90.00
_cell_angle_beta 90.00
_cell_angle_gamma 120.00
loop_
_atom_site_label
_atom_site_fract_x
_atom_site_fract_y
_atom_site_fract_z
La1 0.0000 0.0000 0.0000
Ge1 0.0000 0.0000 0.1036
Au1 0.0000 0.0000 0.5000

[8]
# LaGe3Au | Alexandria | PBE-GGA | relaxed
# Formation energy from the elements, eV per formula unit: 0.46
# Density of states at the Fermi level, states/eV per cell: 4.36
data_LaGe3Au
_chemical_formula_sum 'La1 Ge3 Au1'
_symmetry_space_group_name_H-M 'P m -3 m'
_symmetry_Int_Tables_number 221
_symmetry_space_group_name_Hall '-P 4 2 3'
_cell_length_a 5.068
_cell_length_b 5.068
_cell_length_c 5.068
_cell_angle_alpha 90.00
_cell_angle_beta 90.00
_cell_angle_gamma 90.00
loop_
_atom_site_label
_atom_site_fract_x
_atom_site_fract_y
_atom_site_fract_z
La1 0.000 0.000 0.000
Ge1 0.000 0.500 0.500
Au1 0.500 0.500 0.500

[9]
# La8Ge2Au | Alexandria | PBE-GGA | relaxed
# Formation energy from the elements, eV per formula unit: -4.49
# Density of states at the Fermi level, states/eV per cell: 24.39
data_La8Ge2Au
_chemical_formula_sum 'La16 Ge4 Au2'
_symmetry_space_group_name_H-M 'C 1 m 1'
_symmetry_Int_Tables_number 8
_cell_length_a 8.894
_cell_length_b 14.266
_cell_length_c 5.962
_cell_angle_alpha 90.00
_cell_angle_beta 116.08
_cell_angle_gamma 90.00
loop_
_symmetry_equiv_pos_as_xyz
'x,y,z'
'x,-y,z'
'x+1/2,y+1/2,z'
'x+1/2,-y+1/2,z'
loop_
_atom_site_label
_atom_site_fract_x
_atom_site_fract_y
_atom_site_fract_z
La1 0.000 0.000 0.000
La2 0.067 0.387 0.732
La3 0.181 0.119 0.643
La4 0.271 0.500 0.365
La5 0.449 0.234 0.205
Ge1 0.356 0.304 0.641
Au1 0.389 0.000 0.167

[10]
# LaGe2Au | Alexandria | PBE-GGA | relaxed
# Formation energy from the elements, eV per formula unit: -1.31
# Density of states at the Fermi level, states/eV per cell: 9.88
data_LaGe2Au
_chemical_formula_sum 'La4 Ge8 Au4'
_symmetry_space_group_name_H-M 'F m -3 m'
_symmetry_Int_Tables_number 225
_symmetry_space_group_name_Hall '-F 4 2 3'
_cell_length_a 7.068
_cell_length_b 7.068
_cell_length_c 7.068
_cell_angle_alpha 90.00
_cell_angle_beta 90.00
_cell_angle_gamma 90.00
loop_
_atom_site_label
_atom_site_fract_x
_atom_site_fract_y
_atom_site_fract_z
La1 0.000 0.000 0.000
Ge1 0.250 0.250 0.250
Au1 0.000 0.000 0.500

[11]
# La2GeAu7 | Alexandria | PBE-GGA | relaxed
# Formation energy from the elements, eV per formula unit: -4.94
# Density of states at the Fermi level, states/eV per cell: 4.94
data_La2GeAu7
_chemical_formula_sum 'La2 Ge1 Au7'
_symmetry_space_group_name_H-M 'P -4 m 2'
_symmetry_Int_Tables_number 115
_cell_length_a 4.137
_cell_length_b 4.137
_cell_length_c 13.157
_cell_angle_alpha 90.00
_cell_angle_beta 90.00
_cell_angle_gamma 90.00
loop_
_symmetry_equiv_pos_as_xyz
'x,y,z'
'y,-x,-z'
'-x,-y,z'
'-y,x,-z'
'-x,y,z'
'-y,-x,-z'
'x,-y,z'
'y,x,-z'
loop_
_atom_site_label
_atom_site_fract_x
_atom_site_fract_y
_atom_site_fract_z
La1 0.000 0.500 0.250
Ge1 0.000 0.000 0.500
Au1 0.000 0.000 0.000
Au2 0.000 0.500 0.645
Au3 0.000 0.500 0.852
Au4 0.500 0.500 0.000
Au5 0.500 0.500 0.500

[12]
# LaGe3Au3 | Alexandria | PBE-GGA | relaxed
# Formation energy from the elements, eV per formula unit: -1.02
# Density of states at the Fermi level, states/eV per cell: 6.94
data_LaGe3Au3
_chemical_formula_sum 'La2 Ge6 Au6'
_symmetry_space_group_name_H-M 'P m -3 n'
_symmetry_Int_Tables_number 223
_symmetry_space_group_name_Hall '-P 4n 2 3'
_cell_length_a 7.065
_cell_length_b 7.065
_cell_length_c 7.065
_cell_angle_alpha 90.00
_cell_angle_beta 90.00
_cell_angle_gamma 90.00
loop_
_atom_site_label
_atom_site_fract_x
_atom_site_fract_y
_atom_site_fract_z
La1 0.000 0.000 0.000
Ge1 0.000 0.250 0.500
Au1 0.000 0.500 0.250

[13]
# LaGe2Au | Alexandria | PBE-GGA | relaxed
# Formation energy from the elements, eV per formula unit: -1.63
# Density of states at the Fermi level, states/eV per cell: 7.50
data_LaGe2Au
_chemical_formula_sum 'La4 Ge8 Au4'
_symmetry_space_group_name_H-M 'I -4 2 d'
_symmetry_Int_Tables_number 122
_symmetry_space_group_name_Hall 'I -4 2bw'
_cell_length_a 4.673
_cell_length_b 4.673
_cell_length_c 18.424
_cell_angle_alpha 90.00
_cell_angle_beta 90.00
_cell_angle_gamma 90.00
loop_
_atom_site_label
_atom_site_fract_x
_atom_site_fract_y
_atom_site_fract_z
La1 0.000 0.000 0.000
Ge1 0.143 0.250 0.625
Au1 0.000 0.000 0.500

[14]
# La4GeAu | Alexandria | PBE-GGA | relaxed
# Formation energy from the elements, eV per formula unit: -3.51
# Density of states at the Fermi level, states/eV per cell: 29.79
# ΔE to the lowest computed polymorph, meV/atom: 0.0
data_La4GeAu
_chemical_formula_sum 'La16 Ge4 Au4'
_symmetry_space_group_name_H-M 'P n m a'
_symmetry_Int_Tables_number 62
_cell_length_a 8.302
_cell_length_b 4.556
_cell_length_c 19.124
_cell_angle_alpha 90.00
_cell_angle_beta 90.00
_cell_angle_gamma 90.00
loop_
_symmetry_equiv_pos_as_xyz
'x,y,z'
'-x,-y,-z'
'-x+1/2,-y,z+1/2'
'x+1/2,y,-z+1/2'
'x+1/2,-y+1/2,-z+1/2'
'-x+1/2,y+1/2,z+1/2'
'-x,y+1/2,-z'
'x,-y+1/2,z'
loop_
_atom_site_label
_atom_site_fract_x
_atom_site_fract_y
_atom_site_fract_z
La1 0.013 0.250 0.223
La2 0.027 0.250 0.927
La3 0.140 0.250 0.433
La4 0.140 0.250 0.658
Ge1 0.222 0.750 0.309
Au1 0.249 0.250 0.056

[15]
# La4GeAu | Alexandria | PBE-GGA | relaxed
# Formation energy from the elements, eV per formula unit: -2.70
# Density of states at the Fermi level, states/eV per cell: 17.10
# ΔE to the lowest computed polymorph, meV/atom: 135.8
data_La4GeAu
_chemical_formula_sum 'La8 Ge2 Au2'
_symmetry_space_group_name_H-M 'P 1 21/c 1'
_symmetry_Int_Tables_number 14
_cell_length_a 7.476
_cell_length_b 7.371
_cell_length_c 7.540
_cell_angle_alpha 90.00
_cell_angle_beta 90.42
_cell_angle_gamma 90.00
loop_
_symmetry_equiv_pos_as_xyz
'x,y,z'
'-x,-y,-z'
'-x,y+1/2,-z+1/2'
'x,-y+1/2,z+1/2'
loop_
_atom_site_label
_atom_site_fract_x
_atom_site_fract_y
_atom_site_fract_z
La1 0.156 0.161 0.166
La2 0.342 0.656 0.156
Ge1 0.000 0.000 0.500
Au1 0.500 0.000 0.000

[16]
# La2GeAu2 | Alexandria | PBE-GGA | relaxed
# Formation energy from the elements, eV per formula unit: -2.87
# Density of states at the Fermi level, states/eV per cell: 8.50
# ΔE to the lowest computed polymorph, meV/atom: 160.4
data_La2GeAu2
_chemical_formula_sum 'La4 Ge2 Au4'
_symmetry_space_group_name_H-M 'P 4/m b m'
_symmetry_Int_Tables_number 127
_symmetry_space_group_name_Hall '-P 4 2ab'
_cell_length_a 8.503
_cell_length_b 8.503
_cell_length_c 3.890
_cell_angle_alpha 90.00
_cell_angle_beta 90.00
_cell_angle_gamma 90.00
loop_
_atom_site_label
_atom_site_fract_x
_atom_site_fract_y
_atom_site_fract_z
La1 0.175 0.325 0.000
Ge1 0.000 0.000 0.000
Au1 0.122 0.622 0.500

[17]
# La5Ge2Au | Alexandria | PBE-GGA | relaxed
# Formation energy from the elements, eV per formula unit: -5.26
# Density of states at the Fermi level, states/eV per cell: 36.44
data_La5Ge2Au
_chemical_formula_sum 'La20 Ge8 Au4'
_symmetry_space_group_name_H-M 'I 4/m c m'
_symmetry_Int_Tables_number 140
_symmetry_space_group_name_Hall '-I 4 2c'
_cell_length_a 7.965
_cell_length_b 7.965
_cell_length_c 14.898
_cell_angle_alpha 90.00
_cell_angle_beta 90.00
_cell_angle_gamma 90.00
loop_
_atom_site_label
_atom_site_fract_x
_atom_site_fract_y
_atom_site_fract_z
La1 0.000 0.000 0.000
La2 0.174 0.326 0.144
Ge1 0.122 0.378 0.500
Au1 0.000 0.000 0.250

[18]
# La2Ge2Au | Alexandria | PBE-GGA | relaxed
# Formation energy from the elements, eV per formula unit: -3.73
# Density of states at the Fermi level, states/eV per cell: 6.55
data_La2Ge2Au
_chemical_formula_sum 'La4 Ge4 Au2'
_symmetry_space_group_name_H-M 'A m m 2'
_symmetry_Int_Tables_number 38
_cell_length_a 4.045
_cell_length_b 4.417
_cell_length_c 13.874
_cell_angle_alpha 90.00
_cell_angle_beta 90.00
_cell_angle_gamma 90.00
loop_
_symmetry_equiv_pos_as_xyz
'x,y,z'
'-x,-y,z'
'-x,y,z'
'x,-y,z'
'x,y+1/2,z+1/2'
'-x,-y+1/2,z+1/2'
'-x,y+1/2,z+1/2'
'x,-y+1/2,z+1/2'
loop_
_atom_site_label
_atom_site_fract_x
_atom_site_fract_y
_atom_site_fract_z
La1 0.000 0.000 0.000
La2 0.000 0.000 0.235
Ge1 0.500 0.000 0.620
Ge2 0.500 0.000 0.815
Au1 0.500 0.000 0.418

[19]
# La8Ge5Au | Alexandria | PBE-GGA | relaxed
# Formation energy from the elements, eV per formula unit: -11.12
# Density of states at the Fermi level, states/eV per cell: 21.32
data_La8Ge5Au
_chemical_formula_sum 'La16 Ge10 Au2'
_symmetry_space_group_name_H-M 'I -4'
_symmetry_Int_Tables_number 82
_cell_length_a 9.322
_cell_length_b 9.322
_cell_length_c 9.437
_cell_angle_alpha 90.00
_cell_angle_beta 90.00
_cell_angle_gamma 90.00
loop_
_symmetry_equiv_pos_as_xyz
'x,y,z'
'y,-x,-z'
'-x,-y,z'
'-y,x,-z'
'x+1/2,y+1/2,z+1/2'
'y+1/2,-x+1/2,-z+1/2'
'-x+1/2,-y+1/2,z+1/2'
'-y+1/2,x+1/2,-z+1/2'
loop_
_atom_site_label
_atom_site_fract_x
_atom_site_fract_y
_atom_site_fract_z
La1 0.069 0.179 0.193
La2 0.072 0.315 0.563
Ge1 0.000 0.000 0.500
Ge2 0.125 0.250 0.877
Au1 0.000 0.500 0.250

[20]
# LaGe2Au | Alexandria | PBE-GGA | relaxed
# Formation energy from the elements, eV per formula unit: -2.56
# Density of states at the Fermi level, states/eV per cell: 13.62
data_LaGe2Au
_chemical_formula_sum 'La8 Ge16 Au8'
_symmetry_space_group_name_H-M 'I m m m'
_symmetry_Int_Tables_number 71
_symmetry_space_group_name_Hall '-I 2 2'
_cell_length_a 4.583
_cell_length_b 8.938
_cell_length_c 17.510
_cell_angle_alpha 90.00
_cell_angle_beta 90.00
_cell_angle_gamma 90.00
loop_
_atom_site_label
_atom_site_fract_x
_atom_site_fract_y
_atom_site_fract_z
La1 0.000 0.000 0.201
La2 0.000 0.248 0.000
Ge1 0.000 0.000 0.430
Ge2 0.000 0.355 0.194
Ge3 0.000 0.500 0.429
Au1 0.000 0.250 0.352